[1]
Material: KMnSiSe4
Method: DFT, GGA-PBE
State: relaxed

Cell lengths 6.437, 7.013, 8.487 Å; angles 90.00, 93.97, 90.00 degrees
Atoms (fractional coordinates):
K1 0.228 0.250 0.063
K2 0.772 0.750 0.937
Mn1 0.178 0.750 0.452
Mn2 0.822 0.250 0.548
Si1 0.339 0.250 0.651
Si2 0.661 0.750 0.349
Se1 0.102 0.008 0.688
Se2 0.102 0.492 0.688
Se3 0.364 0.750 0.187
Se4 0.464 0.250 0.411
Se5 0.536 0.750 0.589
Se6 0.636 0.250 0.813
Se7 0.898 0.508 0.312
Se8 0.898 0.992 0.312

Uncorrected formation energy = -0.5965 eV per atom
Fermi-level density of states = 0.88 states/eV/f.u.
Space group = No. 11
E = -0.17747 Ha/atom
Crystal system = monoclinic

[2]
Material: Nd4TmBi2
Method: DFT, GGA-PBE
State: relaxed

Cell lengths 9.457, 9.457, 9.457 Å; angles 146.46, 146.46, 48.16 degrees
Atoms (fractional coordinates):
Nd1 0.000 0.500 0.500
Nd2 0.182 0.182 0.000
Nd3 0.500 0.000 0.500
Nd4 0.818 0.818 0.000
Tm1 0.000 0.000 0.000
Bi1 0.366 0.366 0.000
Bi2 0.634 0.634 0.000

Fermi-level density of states = 6.95 states/eV/f.u.
Space group = No. 139
E = -0.15904 Ha/atom
Crystal system = tetragonal
Formation energy from the elements = 0.144 eV per atom

[3]
Material: Cs7K12Pd
Method: DFT, GGA-PBE
State: relaxed

Cell lengths 15.162, 15.162, 15.162 Å; angles 116.66, 116.66, 116.66 degrees
Atoms (fractional coordinates):
Cs1 0.000 0.000 0.000
Cs2 0.185 0.407 0.408
Cs3 0.407 0.408 0.185
Cs4 0.408 0.185 0.407
Cs5 0.592 0.815 0.593
Cs6 0.593 0.592 0.815
Cs7 0.815 0.593 0.592
K1 0.000 0.408 0.592
K2 0.000 0.592 0.408
K3 0.029 0.393 0.030
K4 0.030 0.029 0.393
K5 0.393 0.030 0.029
K6 0.408 0.000 0.592
K7 0.408 0.592 0.000
K8 0.592 0.000 0.408
K9 0.592 0.408 0.000
K10 0.607 0.970 0.971
K11 0.970 0.971 0.607
K12 0.971 0.607 0.970
Pd1 0.500 0.500 0.500

Fermi-level density of states = 15.47 states/eV/f.u.
Space group = No. 148
E = -0.04200 Ha/atom
Crystal system = trigonal
Formation energy from the elements = 0.074 eV per atom

[4]
Material: ZrNiCl2
Method: DFT, GGA-PBE
State: relaxed

Cell lengths 4.825, 4.825, 4.825 Å; angles 128.71, 128.71, 75.48 degrees
Atoms (fractional coordinates):
Zr1 0.000 0.000 0.000
Ni1 0.500 0.500 0.000
Cl1 0.250 0.750 0.500
Cl2 0.750 0.250 0.500

Uncorrected formation energy = -0.2465 eV per atom
Fermi-level density of states = 3.94 states/eV/f.u.
Polymorph energy (0 for the lowest one) = 678 meV/atom
Space group = No. 139
E = -0.17464 Ha/atom
Crystal system = tetragonal

[5]
Material: ZnFeCu2
Method: DFT, GGA-PBE
State: relaxed

Cell lengths 8.759, 8.759, 8.759 Å; angles 16.94, 16.94, 16.94 degrees
Atoms (fractional coordinates):
Zn1 0.000 0.000 0.000
Fe1 0.833 0.833 0.833
Cu1 0.418 0.418 0.418
Cu2 0.582 0.582 0.582

Fermi-level density of states = 2.56 states/eV/f.u.
Space group = No. 160
E = -0.16217 Ha/atom
Crystal system = trigonal
Formation energy from the elements = 0.069 eV per atom

[6]
Material: K2RbZnAg
Method: DFT, GGA-PBE
State: relaxed

Cell lengths 6.584, 6.584, 5.235 Å; angles 90.00, 90.00, 90.00 degrees
Atoms (fractional coordinates):
K1 0.000 0.500 0.000
K2 0.500 0.000 0.000
Rb1 0.000 0.000 0.500
Zn1 0.500 0.500 0.000
Ag1 0.500 0.500 0.500

Fermi-level density of states = 3.96 states/eV/f.u.
Polymorph energy (0 for the lowest one) = 21 meV/atom
Space group = No. 123
E = -0.04856 Ha/atom
Crystal system = tetragonal
Formation energy from the elements = 0.136 eV per atom

[7]
Material: PmPr2Ga
Method: DFT, GGA-PBE
State: relaxed

Cell lengths 10.748, 10.748, 10.748 Å; angles 20.19, 20.19, 20.19 degrees
Atoms (fractional coordinates):
Pm1 0.000 0.000 0.000
Pr1 0.237 0.237 0.237
Pr2 0.430 0.430 0.430
Ga1 0.834 0.834 0.834

Fermi-level density of states = 4.55 states/eV/f.u.
Polymorph energy (0 for the lowest one) = 92 meV/atom
Space group = No. 160
E = -0.16472 Ha/atom
Crystal system = trigonal
Formation energy from the elements = -0.148 eV per atom

[8]
Material: Sc2GeP
Method: DFT, GGA-PBE
State: relaxed

Cell lengths 10.593, 10.593, 3.770 Å; angles 90.00, 90.00, 158.76 degrees
Atoms (fractional coordinates):
Sc1 0.066 0.934 0.750
Sc2 0.312 0.688 0.750
Sc3 0.688 0.312 0.250
Sc4 0.934 0.066 0.250
Ge1 0.455 0.545 0.750
Ge2 0.545 0.455 0.250
P1 0.188 0.812 0.750
P2 0.812 0.188 0.250

Fermi-level density of states = 1.42 states/eV/f.u.
Polymorph energy (0 for the lowest one) = 0 meV/atom
Space group = No. 63
E = -0.25102 Ha/atom
Crystal system = orthorhombic
Formation energy from the elements = -1.158 eV per atom

[9]
Material: Ca3TbPa2P6
Method: DFT, GGA-PBE
State: relaxed

Cell lengths 7.045, 7.045, 7.035 Å; angles 99.60, 99.60, 119.99 degrees
Atoms (fractional coordinates):
Ca1 0.000 0.000 0.000
Ca2 0.335 0.665 0.000
Ca3 0.665 0.335 0.000
Tb1 0.500 0.500 0.500
Pa1 0.167 0.833 0.500
Pa2 0.833 0.167 0.500
P1 0.081 0.423 0.270
P2 0.235 0.235 0.731
P3 0.423 0.081 0.270
P4 0.577 0.919 0.730
P5 0.765 0.765 0.269
P6 0.919 0.577 0.730

Fermi-level density of states = 5.51 states/eV/f.u.
Space group = No. 12
E = -0.23881 Ha/atom
Crystal system = monoclinic
Formation energy from the elements = -1.324 eV per atom

[10]
Material: TbPr2DyHo5
Method: DFT, GGA-PBE
State: relaxed

Cell lengths 9.963, 9.963, 9.963 Å; angles 128.83, 128.83, 75.28 degrees
Atoms (fractional coordinates):
Tb1 0.250 0.750 0.500
Tb2 0.750 0.250 0.500
Pr1 0.119 0.619 0.737
Pr2 0.381 0.119 0.500
Pr3 0.619 0.881 0.500
Pr4 0.881 0.381 0.263
Dy1 0.250 0.250 0.000
Dy2 0.750 0.750 0.000
Ho1 0.000 0.000 0.000
Ho2 0.072 0.146 0.500
Ho3 0.146 0.646 0.074
Ho4 0.354 0.428 0.500
Ho5 0.428 0.928 0.074
Ho6 0.500 0.500 0.000
Ho7 0.572 0.072 0.926
Ho8 0.646 0.572 0.500
Ho9 0.854 0.354 0.926
Ho10 0.928 0.854 0.500

Fermi-level density of states = 11.24 states/eV/f.u.
Space group = No. 140
E = -0.16032 Ha/atom
Crystal system = tetragonal
Formation energy from the elements = 0.269 eV per atom

[11]
Material: FeHg2Rh
Method: DFT, GGA-PBE
State: relaxed

Cell lengths 4.845, 4.845, 5.102 Å; angles 100.79, 100.79, 36.56 degrees
Atoms (fractional coordinates):
Fe1 0.000 0.000 0.000
Hg1 0.251 0.251 0.751
Hg2 0.749 0.749 0.249
Rh1 0.500 0.500 0.500

Fermi-level density of states = 3.68 states/eV/f.u.
Polymorph energy (0 for the lowest one) = 185 meV/atom
Space group = No. 12
E = -0.13759 Ha/atom
Crystal system = monoclinic
Formation energy from the elements = 0.360 eV per atom

[12]
Material: Rb4Tl3SnBr8
Method: DFT, GGA-PBE
State: relaxed

Cell lengths 9.680, 9.680, 9.581 Å; angles 117.15, 117.15, 59.21 degrees
Atoms (fractional coordinates):
Rb1 0.000 0.000 0.000
Rb2 0.000 0.500 0.500
Rb3 0.500 0.000 0.500
Rb4 0.500 0.500 0.000
Tl1 0.000 0.000 0.500
Tl2 0.000 0.500 0.000
Tl3 0.500 0.000 0.000
Sn1 0.500 0.500 0.500
Br1 0.227 0.227 0.221
Br2 0.247 0.247 0.751
Br3 0.261 0.728 0.266
Br4 0.272 0.739 0.734
Br5 0.728 0.261 0.266
Br6 0.739 0.272 0.734
Br7 0.753 0.753 0.249
Br8 0.773 0.773 0.779

Uncorrected formation energy = -1.1785 eV per atom
Fermi-level density of states = 0.65 states/eV/f.u.
Space group = No. 12
E = -0.10844 Ha/atom
Crystal system = monoclinic

> Look up the Fermi-level density of states of the sixth one.

3.96 states/eV/f.u.